Here is TiReTe2 after structural relaxation from Alexandria. Energies are from PBE-GGA.

Results
SG	I-42d, No. 122
energy relative to the elements, uncorrected	503	meV per atom
total magnetic moment	0.00	μB per cell
VASP energy	-6.154	eV/atom
distance to the lowest polymorph of the same formula	243	meV per atom

Cell lengths 8.9728, 8.9728, 8.9728 Å; angles 149.33, 149.33, 43.93 degrees
Positions (direct):
Ti 0.0000 0.0000 0.0000
Ti 0.7500 0.2500 0.5000
Re 0.2500 0.7500 0.5000
Re 0.5000 0.5000 0.0000
Te 0.1366 0.6250 0.0116
Te 0.3750 0.3866 0.5116
Te 0.6134 0.1250 0.9884
Te 0.8750 0.8634 0.4884

---

Here is CaPm8Ho2 after structural relaxation from Alexandria. Energies are from PBE-GGA.

Results
SG	Immm, No. 71
total magnetic moment	0.00	μB per cell
VASP energy	-4.321	eV/atom
energy relative to the elements	0.15	eV/atom

Cell lengths 9.4802, 9.4802, 9.4802 Å; angles 145.24, 126.76, 65.16 degrees
Positions (direct):
Ca 0.0000 0.0000 0.0000
Pm 0.1568 0.8573 0.2995
Pm 0.1616 0.6616 0.5000
Pm 0.3079 0.5000 0.8079
Pm 0.4421 0.1427 0.2995
Pm 0.5579 0.8573 0.7005
Pm 0.6921 0.5000 0.1921
Pm 0.8384 0.3384 0.5000
Pm 0.8432 0.1427 0.7005
Ho 0.2973 0.2973 0.0000
Ho 0.7027 0.7027 0.0000